(1)
AgIrPb2 after structural relaxation, computed with PBE-GGA.

Values from the calculation:
The formation energy is 0.3753 eV per atom. The total magnetization comes out at 0.00 μB per formula unit. Its excess energy over the best structure of this formula in the dataset is 93.8 meV per atom.

```
AgIrPb2
1.0
0.000 3.505 3.505
3.505 0.000 3.505
3.505 3.505 0.000
Ag Ir Pb
1 1 2
Direct
0.000 0.000 0.000 Ag
0.500 0.500 0.500 Ir
0.250 0.250 0.250 Pb
0.750 0.750 0.750 Pb
```

(2)
Ag2IrPb after structural relaxation, computed with PBE-GGA.

Values from the calculation:
The formation energy is 0.3515 eV per atom. The total magnetization comes out at 0.00 μB per formula unit.

```
Ag2IrPb
1.0
-1.991 1.991 4.771
1.991 -1.991 4.771
1.991 1.991 -4.771
Ag Ir Pb
2 1 1
Direct
0.250 0.750 0.500 Ag
0.750 0.250 0.500 Ag
0.000 0.000 0.000 Ir
0.500 0.500 0.000 Pb
```

(3)
AgIr2Pb after structural relaxation, computed with PBE-GGA.

Values from the calculation:
The formation energy is 0.6813 eV per atom. The total magnetization comes out at 0.00 μB per formula unit.

```
AgIr2Pb
1.0
1.543 0.891 8.731
-1.543 0.891 8.731
0.000 -1.782 8.731
Ag Ir Pb
1 2 1
Direct
0.000 0.000 0.000 Ag
0.248 0.248 0.248 Ir
0.752 0.752 0.752 Ir
0.500 0.500 0.500 Pb
```

(4)
AgIrPb after structural relaxation, computed with PBE-GGA.

Values from the calculation:
The formation energy is 0.4304 eV per atom. The total magnetization comes out at 0.00 μB per formula unit. Its excess energy over the best structure of this formula in the dataset is 71.3 meV per atom.

```
AgIrPb
1.0
3.133 0.000 0.000
0.000 3.133 0.000
0.000 0.000 6.472
Ag Ir Pb
1 1 1
Direct
0.000 0.000 0.000 Ag
0.500 0.500 0.719 Ir
0.000 0.000 0.441 Pb
```